[1]
The following is a DFT calculation (PBE-GGA) of a geometry-optimized Ti2BC structure.

Values from the calculation:
The value obtained for the density of states at the Fermi level is 1.4 states/eV/f.u. The value obtained for the total energy is -0.32188 hartree per atom. Its formation energy is -3.344 eV per formula unit. The energy above the most stable polymorph in this dataset is 0.000 eV/atom. The calculation puts the mass density at 4.644 g/cm³.

Cell lengths 8.9272, 8.9272, 3.0456 Å; angles 90.00, 90.00, 159.55 degrees
Last column: nearest neighbours and their distance in Å.
Element x y z (fractional)
Ti: 0.0702 0.9298 0.7500  1 C 2.08, 6 B 2.32-2.33
Ti: 0.3087 0.6913 0.7500  5 C 2.11-2.20
Ti: 0.6913 0.3087 0.2500  5 C 2.11-2.20
Ti: 0.9298 0.0702 0.2500  1 C 2.08, 6 B 2.32-2.33
B: 0.4730 0.5270 0.7500  2 B 1.80
B: 0.5270 0.4730 0.2500  2 B 1.80
C: 0.1889 0.8111 0.7500  6 Ti 2.08-2.20
C: 0.8111 0.1889 0.2500  6 Ti 2.08-2.20

[2]
The following is a DFT calculation (PBE-GGA) of a geometry-optimized Ti6BC2 structure.

Values from the calculation:
The value obtained for the density of states at the Fermi level is 5.3 states/eV/f.u. The value obtained for the total energy is -0.31467 hartree per atom. Its formation energy is -4.568 eV per formula unit. The calculation puts the mass density at 4.326 g/cm³.

Cell lengths 5.0762, 5.0762, 9.5951 Å; angles 90.00, 90.00, 90.00 degrees
Last column: nearest neighbours and their distance in Å.
Element x y z (fractional)
Ti: 0.1958 0.1958 0.0000  2 C 2.12, 1 B 2.18
Ti: 0.2030 0.2030 0.3264  2 C 2.13, 1 B 2.21
Ti: 0.2030 0.2030 0.6736  2 C 2.13, 1 B 2.21
Ti: 0.2970 0.7030 0.1736  2 C 2.13, 1 B 2.21
Ti: 0.2970 0.7030 0.8264  2 C 2.13, 1 B 2.21
Ti: 0.3042 0.6958 0.5000  2 C 2.12, 1 B 2.18
Ti: 0.6958 0.3042 0.5000  2 C 2.12, 1 B 2.18
Ti: 0.7030 0.2970 0.1736  2 C 2.13, 1 B 2.21
Ti: 0.7030 0.2970 0.8264  2 C 2.13, 1 B 2.21
Ti: 0.7970 0.7970 0.3264  2 C 2.13, 1 B 2.21
Ti: 0.7970 0.7970 0.6736  2 C 2.13, 1 B 2.21
Ti: 0.8042 0.8042 0.0000  2 C 2.12, 1 B 2.18
B: 0.0000 0.0000 0.5000  6 Ti 2.18-2.21
B: 0.5000 0.5000 0.0000  6 Ti 2.18-2.21
C: 0.0000 0.0000 0.1650  6 Ti 2.12-2.13
C: 0.0000 0.0000 0.8350  6 Ti 2.12-2.13
C: 0.5000 0.5000 0.3350  6 Ti 2.12-2.13
C: 0.5000 0.5000 0.6650  6 Ti 2.12-2.13

[3]
The following is a DFT calculation (PBE-GGA) of a geometry-optimized Ti4BC2 structure.

Values from the calculation:
The value obtained for the density of states at the Fermi level is 3.5 states/eV/f.u. The value obtained for the total energy is -0.32355 hartree per atom. Its formation energy is -4.925 eV per formula unit. The energy above the most stable polymorph in this dataset is 0.000 eV/atom. The calculation puts the mass density at 4.616 g/cm³.

Cell lengths 5.3151, 5.3151, 10.4051 Å; angles 90.00, 90.00, 146.37 degrees
Last column: nearest neighbours and their distance in Å.
Element x y z (fractional)
Ti: 0.0000 0.0000 0.0000  4 C 2.17
Ti: 0.0000 0.0000 0.5000  4 C 2.17
Ti: 0.2690 0.7310 0.6160  3 C 2.10-2.12
Ti: 0.2690 0.7310 0.8840  3 C 2.10-2.12
Ti: 0.4483 0.5517 0.2500  2 C 2.13, 2 B 2.24
Ti: 0.5517 0.4483 0.7500  2 C 2.13, 2 B 2.24
Ti: 0.7310 0.2690 0.1160  3 C 2.10-2.12
Ti: 0.7310 0.2690 0.3840  3 C 2.10-2.12
B: 0.1090 0.8910 0.2500  6 Ti 2.24-2.42
B: 0.8910 0.1090 0.7500  6 Ti 2.24-2.42
C: 0.3638 0.6362 0.0629  6 Ti 2.10-2.17
C: 0.3638 0.6362 0.4371  6 Ti 2.10-2.17
C: 0.6362 0.3638 0.5629  6 Ti 2.10-2.17
C: 0.6362 0.3638 0.9371  6 Ti 2.10-2.17

[4]
The following is a DFT calculation (PBE-GGA) of a geometry-optimized Ti4BC2 structure.

Values from the calculation:
The value obtained for the density of states at the Fermi level is 5.4 states/eV/f.u. The value obtained for the total energy is -0.28700 hartree per atom. Its formation energy is 2.038 eV per formula unit. The energy above the most stable polymorph in this dataset is 0.995 eV/atom. The calculation puts the mass density at 4.162 g/cm³.

Cell lengths 6.3508, 6.3508, 6.3508 Å; angles 143.45, 143.45, 52.65 degrees
Last column: nearest neighbours and their distance in Å.
Element x y z (fractional)
Ti: 0.0000 0.5000 0.5000  2 B 1.99
Ti: 0.1876 0.1876 0.0000  1 C 2.05, 1 B 2.14
Ti: 0.5000 0.0000 0.5000  2 B 1.99
Ti: 0.8124 0.8124 0.0000  1 C 2.05, 1 B 2.14
B: 0.0000 0.0000 0.0000  6 Ti 1.99-2.14
C: 0.3674 0.3674 0.0000  1 Ti 2.05
C: 0.6326 0.6326 0.0000  1 Ti 2.05

[5]
The following is a DFT calculation (PBE-GGA) of a geometry-optimized Ti8B3C2 structure.

Values from the calculation:
The value obtained for the density of states at the Fermi level is 7.8 states/eV/f.u. The value obtained for the total energy is -0.30441 hartree per atom. Its formation energy is -6.046 eV per formula unit. The calculation puts the mass density at 4.237 g/cm³.

Cell lengths 6.2928, 6.2928, 5.3297 Å; angles 106.98, 106.98, 60.08 degrees
Last column: nearest neighbours and their distance in Å.
Element x y z (fractional)
Ti: 0.1117 0.6269 0.2350  2 C 2.14-2.17, 2 B 2.19-2.24
Ti: 0.1249 0.1249 0.2435  1 C 2.16, 3 B 2.22-2.23
Ti: 0.3715 0.3715 0.7663  1 C 2.12, 2 B 2.17
Ti: 0.3731 0.8883 0.7650  2 C 2.14-2.17, 2 B 2.19-2.24
Ti: 0.6269 0.1117 0.2350  2 C 2.14-2.17, 2 B 2.19-2.24
Ti: 0.6285 0.6285 0.2337  1 C 2.12, 2 B 2.17
Ti: 0.8751 0.8751 0.7565  1 C 2.16, 3 B 2.22-2.23
Ti: 0.8883 0.3731 0.7650  2 C 2.14-2.17, 2 B 2.19-2.24
B: 0.0000 0.0000 0.5000  6 Ti 2.23-2.24
B: 0.2554 0.7446 0.0000  6 Ti 2.17-2.22
B: 0.7446 0.2554 0.0000  6 Ti 2.17-2.22
C: 0.2521 0.2521 0.0078  6 Ti 2.12-2.17
C: 0.7479 0.7479 0.9922  6 Ti 2.12-2.17

[6]
The following is a DFT calculation (PBE-GGA) of a geometry-optimized Ti2BC structure.

Values from the calculation:
The value obtained for the density of states at the Fermi level is 1.6 states/eV/f.u. The value obtained for the total energy is -0.31259 hartree per atom. Its formation energy is -2.333 eV per formula unit. The energy above the most stable polymorph in this dataset is 0.253 eV/atom. The calculation puts the mass density at 4.522 g/cm³.

Cell lengths 5.6044, 5.6044, 5.6044 Å; angles 31.85, 31.85, 31.85 degrees
Last column: nearest neighbours and their distance in Å.
Element x y z (fractional)
Ti: 0.2438 0.2438 0.2438  3 C 2.16, 3 B 2.28
Ti: 0.7562 0.7562 0.7562  3 C 2.16, 3 B 2.28
B: 0.0000 0.0000 0.0000  6 Ti 2.28
C: 0.5000 0.5000 0.5000  6 Ti 2.16

[7]
The following is a DFT calculation (PBE-GGA) of a geometry-optimized TiBC3 structure.

Values from the calculation:
The value obtained for the density of states at the Fermi level is 1.6 states/eV/f.u. The value obtained for the total energy is -0.20737 hartree per atom. Its formation energy is 14.030 eV per formula unit. The energy above the most stable polymorph in this dataset is 1.185 eV/atom. The calculation puts the mass density at 2.390 g/cm³.

Cell lengths 4.0373, 4.0373, 4.0373 Å; angles 90.00, 90.00, 90.00 degrees
Last column: nearest neighbours and their distance in Å.
Element x y z (fractional)
Ti: 0.0000 0.0000 0.0000  6 C 2.02
B: 0.5000 0.5000 0.5000  12 C 2.85
C: 0.0000 0.0000 0.5000  2 Ti 2.02
C: 0.0000 0.5000 0.0000  2 Ti 2.02
C: 0.5000 0.0000 0.0000  2 Ti 2.02

[8]
The following is a DFT calculation (PBE-GGA) of a geometry-optimized Ti2BC structure.

Values from the calculation:
The value obtained for the density of states at the Fermi level is 7.6 states/eV/f.u. The value obtained for the total energy is -0.27994 hartree per atom. Its formation energy is 1.221 eV per formula unit. The energy above the most stable polymorph in this dataset is 1.141 eV/atom. The calculation puts the mass density at 4.674 g/cm³.

Cell lengths 3.9055, 3.9055, 3.9055 Å; angles 60.00, 60.00, 60.00 degrees
Last column: nearest neighbours and their distance in Å.
Element x y z (fractional)
Ti: 0.2500 0.2500 0.2500  4 C 2.39, 4 B 2.39
Ti: 0.7500 0.7500 0.7500  4 C 2.39, 4 B 2.39
B: 0.0000 0.0000 0.0000  8 Ti 2.39
C: 0.5000 0.5000 0.5000  8 Ti 2.39

[9]
The following is a DFT calculation (PBE-GGA) of a geometry-optimized Ti2BC structure.

Values from the calculation:
The value obtained for the density of states at the Fermi level is 2.6 states/eV/f.u. The value obtained for the total energy is -0.29440 hartree per atom. Its formation energy is -0.353 eV per formula unit. The energy above the most stable polymorph in this dataset is 0.748 eV/atom. The calculation puts the mass density at 4.330 g/cm³.

Cell lengths 4.9084, 4.9084, 4.9084 Å; angles 108.35, 108.35, 111.73 degrees
Last column: nearest neighbours and their distance in Å.
Element x y z (fractional)
Ti: 0.1065 0.6250 0.9815  2 C 2.08, 2 B 2.22
Ti: 0.3750 0.3565 0.4815  2 C 2.08, 2 B 2.22
Ti: 0.6435 0.1250 0.0185  2 C 2.08, 2 B 2.22
Ti: 0.8750 0.8935 0.5185  2 C 2.08, 2 B 2.22
B: 0.2500 0.7500 0.5000  4 Ti 2.22
B: 0.5000 0.5000 0.0000  4 Ti 2.22
C: 0.0000 0.0000 0.0000  4 Ti 2.08
C: 0.7500 0.2500 0.5000  4 Ti 2.08

[10]
The following is a DFT calculation (PBE-GGA) of a geometry-optimized TlB3C structure.

Values from the calculation:
The value obtained for the density of states at the Fermi level is 1.9 states/eV/f.u. The value obtained for the total energy is -0.15558 hartree per atom. Its formation energy is 10.455 eV per formula unit. The energy above the most stable polymorph in this dataset is 0.000 eV/atom. The calculation puts the mass density at 7.828 g/cm³.

Cell lengths 3.7511, 3.7511, 3.7511 Å; angles 90.00, 90.00, 90.00 degrees
Last column: nearest neighbours and their distance in Å.
Element x y z (fractional)
Tl: 0.0000 0.0000 0.0000  12 B 2.65
B: 0.0000 0.5000 0.5000  2 C 1.88
B: 0.5000 0.0000 0.5000  2 C 1.88
B: 0.5000 0.5000 0.0000  2 C 1.88
C: 0.5000 0.5000 0.5000  6 B 1.88

[11]
The following is a DFT calculation (PBE-GGA) of a geometry-optimized Tl2BC structure.

Values from the calculation:
The value obtained for the density of states at the Fermi level is 3.2 states/eV/f.u. The value obtained for the total energy is -0.11117 hartree per atom. Its formation energy is 8.534 eV per formula unit. The energy above the most stable polymorph in this dataset is 0.402 eV/atom. The calculation puts the mass density at 9.979 g/cm³.

Cell lengths 4.6656, 4.6656, 4.6656 Å; angles 60.00, 60.00, 60.00 degrees
Last column: nearest neighbours and their distance in Å.
Element x y z (fractional)
Tl: 0.2500 0.2500 0.2500  4 B 2.86, 4 C 2.86
Tl: 0.7500 0.7500 0.7500  4 B 2.86, 4 C 2.86
B: 0.0000 0.0000 0.0000  8 Tl 2.86
C: 0.5000 0.5000 0.5000  8 Tl 2.86

[12]
The following is a DFT calculation (PBE-GGA) of a geometry-optimized Tl3BC structure.

Values from the calculation:
The value obtained for the density of states at the Fermi level is 1.0 states/eV/f.u. The value obtained for the total energy is -0.10546 hartree per atom. Its formation energy is 8.651 eV per formula unit. The energy above the most stable polymorph in this dataset is 0.000 eV/atom. The calculation puts the mass density at 9.020 g/cm³.

Cell lengths 4.8921, 4.8921, 4.8921 Å; angles 90.00, 90.00, 90.00 degrees
Last column: nearest neighbours and their distance in Å.
Element x y z (fractional)
Tl: 0.0000 0.0000 0.5000  2 B 2.45
Tl: 0.0000 0.5000 0.0000  2 B 2.45
Tl: 0.5000 0.0000 0.0000  2 B 2.45
B: 0.0000 0.0000 0.0000  6 Tl 2.45
C: 0.5000 0.5000 0.5000  12 Tl 3.46

Question: Number 5 is which compound?
Answer: Ti8B3C2

Question: Which value of mass density does entry 3 give?
Answer: 4.616 g/cm³

Question: Among the records above, which one has the lowest mass density?
Answer: TiBC3